1.
# CaMn2Ir PBE optimized geometry
# E_form	643	meV per atom
data_CaMn2Ir
_cell_length_a 6.156
_cell_length_b 6.156
_cell_length_c 6.156
_cell_angle_alpha 90.00
_cell_angle_beta 90.00
_cell_angle_gamma 90.00
_space_group_name_H-M_alt 'F m -3 m'
_space_group_IT_number 225
_space_group_name_Hall '-F 4 2 3'
loop_
_atom_site_label
_atom_site_type_symbol
_atom_site_fract_x
_atom_site_fract_y
_atom_site_fract_z
Ca1 Ca 0.000 0.000 0.000
Mn1 Mn 0.250 0.250 0.250
Ir1 Ir 0.000 0.000 0.500

2.
# CaMn2Ir PBE optimized geometry
# E_form	227	meV per atom
data_CaMn2Ir
_cell_length_a 3.075
_cell_length_b 4.857
_cell_length_c 9.871
_cell_angle_alpha 90.00
_cell_angle_beta 90.00
_cell_angle_gamma 90.00
_space_group_name_H-M_alt 'I m m m'
_space_group_IT_number 71
_space_group_name_Hall '-I 2 2'
loop_
_atom_site_label
_atom_site_type_symbol
_atom_site_fract_x
_atom_site_fract_y
_atom_site_fract_z
Ca1 Ca 0.000 0.000 0.000
Mn1 Mn 0.000 0.500 0.212
Ir1 Ir 0.000 0.000 0.500